DFT (PBE) results for a geometry-optimized AlRhO3 structure.

The structure belongs to space group Pm-3m (No. 221); the cell edges are 3.865, 3.865 and 3.865 Å and the angles 90.00°, 90.00° and 90.00°. The distinct sites, in fractional coordinates, are Al at (0.000, 0.000, 0.000), Rh at (0.500, 0.500, 0.500) and O at (0.000, 0.500, 0.500).



DFT (PBE) results for a geometry-optimized AlRhO2 structure.

The structure belongs to space group R-3m (No. 166, hexagonal axes); the cell edges are 3.0767, 3.0767 and 17.5452 Å and the angles 90.00°, 90.00° and 120.00°. The distinct sites, in fractional coordinates, are Al at (0.0000, 0.0000, 0.0000), Rh at (0.0000, 0.0000, 0.5000) and O at (0.0000, 0.0000, 0.1069).



DFT (PBE) results for a geometry-optimized AlRh3O structure.

The structure belongs to space group Pm-3m (No. 221); the cell edges are 4.509, 4.509 and 4.509 Å and the angles 90.00°, 90.00° and 90.00°. The distinct sites, in fractional coordinates, are Al at (0.000, 0.000, 0.000), Rh at (0.000, 0.000, 0.500) and O at (0.500, 0.500, 0.500).



DFT (PBE) results for a geometry-optimized AlRh3O structure.

The structure belongs to space group Pm-3m (No. 221); the cell edges are 4.095, 4.095 and 4.095 Å and the angles 90.00°, 90.00° and 90.00°. The distinct sites, in fractional coordinates, are Al at (0.000, 0.000, 0.000), Rh at (0.000, 0.500, 0.500) and O at (0.500, 0.500, 0.500).



DFT (PBE) results for a geometry-optimized Al2Rh2O7 structure.

The structure belongs to space group P-1 (No. 2); the cell edges are 3.090, 7.162 and 7.293 Å and the angles 75.92°, 77.94° and 89.07°. The distinct sites, in fractional coordinates, are Al at (0.022, 0.287, 0.439), Rh at (0.339, 0.968, 0.822), O at (0.000, 0.500, 0.500), O at (0.085, 0.908, 0.340), O at (0.243, 0.142, 0.003) and O at (0.420, 0.756, 0.674).



DFT (PBE) results for a geometry-optimized AlRhO2 structure.

The structure belongs to space group I-42d (No. 122); the cell edges are 4.812, 4.812 and 8.513 Å and the angles 90.00°, 90.00° and 90.00°. The distinct sites, in fractional coordinates, are Al at (0.000, 0.000, 0.000), Rh at (0.000, 0.000, 0.500) and O at (0.157, 0.250, 0.125).



DFT (PBE) results for a geometry-optimized AlRhO3 structure.

The structure belongs to space group P6_3/mmc (No. 194); the cell edges are 3.1553, 3.1553 and 11.8673 Å and the angles 90.00°, 90.00° and 120.00°. The distinct sites, in fractional coordinates, are Al at (0.3333, 0.6667, 0.2500), Rh at (0.0000, 0.0000, 0.0000), O at (0.0000, 0.0000, 0.2500) and O at (0.3333, 0.6667, 0.0859).



DFT (PBE) results for a geometry-optimized AlRuRhO6 structure.

The structure belongs to space group P-31c (No. 163); the cell edges are 4.9743, 4.9743 and 8.4594 Å and the angles 90.00°, 90.00° and 120.00°. The distinct sites, in fractional coordinates, are Al at (0.3333, 0.6667, 0.2500), Ru at (0.3333, 0.6667, 0.7500), Rh at (0.0000, 0.0000, 0.0000) and O at (0.0102, 0.3488, 0.1289).



DFT (PBE) results for a geometry-optimized AlRhSeO5 structure.

The structure belongs to space group C2/c (No. 15); the cell edges are 6.876, 8.455 and 6.926 Å and the angles 90.00°, 112.57° and 90.00°. The distinct sites, in fractional coordinates, are Al at (0.250, 0.250, 0.000), Rh at (0.000, 0.022, 0.250), Se at (0.000, 0.461, 0.250), O at (0.000, 0.210, 0.750), O at (0.045, 0.322, 0.094) and O at (0.192, 0.027, 0.067).



DFT (PBE) results for a geometry-optimized Sm2AlRhO6 structure.

The structure belongs to space group P2_1/c (No. 14); the cell edges are 5.376, 5.609 and 9.326 Å and the angles 90.00°, 124.63° and 90.00°. The distinct sites, in fractional coordinates, are Sm at (0.234, 0.062, 0.250), Al at (0.500, 0.000, 0.000), Rh at (0.000, 0.000, 0.500), O at (0.162, 0.192, 0.952), O at (0.260, 0.714, 0.948) and O at (0.357, 0.028, 0.761).



DFT (PBE) results for a geometry-optimized TbAlRhO4 structure.

The structure belongs to space group Cmcm (No. 63); the cell edges are 5.918, 8.641 and 7.039 Å and the angles 90.00°, 90.00° and 90.00°. The distinct sites, in fractional coordinates, are Tb at (0.000, 0.000, 0.000), Al at (0.000, 0.372, 0.250), Rh at (0.000, 0.291, 0.750), O at (0.000, 0.264, 0.037) and O at (0.245, 0.494, 0.250).



DFT (PBE) results for a geometry-optimized AlTcRhO6 structure.

The structure belongs to space group P-31c (No. 163); the cell edges are 4.9719, 4.9719 and 8.5684 Å and the angles 90.00°, 90.00° and 120.00°. The distinct sites, in fractional coordinates, are Al at (0.3333, 0.6667, 0.2500), Tc at (0.3333, 0.6667, 0.7500), Rh at (0.0000, 0.0000, 0.0000) and O at (0.0060, 0.3498, 0.1302).



DFT (PBE) results for a geometry-optimized AlTeRhO6 structure.

The structure belongs to space group P-31c (No. 163); the cell edges are 5.0243, 5.0243 and 8.7034 Å and the angles 90.00°, 90.00° and 120.00°. The distinct sites, in fractional coordinates, are Al at (0.3333, 0.6667, 0.2500), Te at (0.3333, 0.6667, 0.7500), Rh at (0.0000, 0.0000, 0.0000) and O at (0.0078, 0.3544, 0.1309).



DFT (PBE) results for a geometry-optimized UAlRhO6 structure.

The structure belongs to space group P4_2nm (No. 102); the cell edges are 4.740, 4.740 and 9.254 Å and the angles 90.00°, 90.00° and 90.00°. The distinct sites, in fractional coordinates, are U at (0.000, 0.000, 0.000), Al at (0.000, 0.000, 0.663), Rh at (0.000, 0.000, 0.329), O at (0.184, 0.184, 0.505), O at (0.192, 0.192, 0.821) and O at (0.210, 0.210, 0.166).



DFT (PBE) results for a geometry-optimized AlRuO2 structure.

The structure belongs to space group I-42d (No. 122); the cell edges are 4.642, 4.642 and 8.603 Å and the angles 90.00°, 90.00° and 90.00°. The distinct sites, in fractional coordinates, are Al at (0.000, 0.000, 0.000), Ru at (0.000, 0.000, 0.500) and O at (0.172, 0.250, 0.125).



DFT (PBE) results for a geometry-optimized Al2RuO structure.

The structure belongs to space group I-42d (No. 122); the cell edges are 5.729, 5.729 and 6.473 Å and the angles 90.00°, 90.00° and 90.00°. The distinct sites, in fractional coordinates, are Al at (0.169, 0.750, 0.125), Ru at (0.000, 0.000, 0.500) and O at (0.000, 0.000, 0.000).



DFT (PBE) results for a geometry-optimized AlRu3O structure.

The structure belongs to space group Pm-3m (No. 221); the cell edges are 4.489, 4.489 and 4.489 Å and the angles 90.00°, 90.00° and 90.00°. The distinct sites, in fractional coordinates, are Al at (0.000, 0.000, 0.000), Ru at (0.000, 0.000, 0.500) and O at (0.500, 0.500, 0.500).



DFT (PBE) results for a geometry-optimized AlRuO2 structure.

The structure belongs to space group R-3m (No. 166, hexagonal axes); the cell edges are 2.8851, 2.8851 and 18.8539 Å and the angles 90.00°, 90.00° and 120.00°. The distinct sites, in fractional coordinates, are Al at (0.0000, 0.0000, 0.0000), Ru at (0.0000, 0.0000, 0.5000) and O at (0.0000, 0.0000, 0.1002).



DFT (PBE) results for a geometry-optimized AlRuO2 structure.

The structure belongs to space group R-3m (No. 166, hexagonal axes); the cell edges are 2.7671, 2.7671 and 18.2988 Å and the angles 90.00°, 90.00° and 120.00°. The distinct sites, in fractional coordinates, are Al at (0.0000, 0.0000, 0.0000), Ru at (0.0000, 0.0000, 0.5000) and O at (0.0000, 0.0000, 0.3876).



DFT (PBE) results for a geometry-optimized Al2Ru2O structure.

The structure belongs to space group P4/mbm (No. 127); the cell edges are 5.365, 5.365 and 4.551 Å and the angles 90.00°, 90.00° and 90.00°. The distinct sites, in fractional coordinates, are Al at (0.173, 0.327, 0.000), Ru at (0.163, 0.663, 0.500) and O at (0.000, 0.000, 0.000).



no.,formation energy from raw total energies (eV/atom),E_tot (eV per atom)
1,-0.403,-5.5965
2,-0.925,-6.1772
3,1.253,-4.8976
4,-0.102,-6.2531
5,-1.653,-6.8251
6,-1.438,-6.6911
7,-1.804,-6.9978
8,-1.345,-6.9136
9,-1.176,-6.0970
10,-2.675,-7.7031
11,-2.191,-7.2709
12,-1.529,-7.2186
13,-1.392,-6.2793
14,-2.366,-8.1580
15,-1.271,-7.0048
16,-0.891,-6.3206
17,1.859,-5.4470
18,-0.892,-6.6252
19,-1.839,-7.5727
20,-0.291,-6.4897